Density functional theory data (SCAN) for CoO at its PBEsol-relaxed geometry.

```
data_CoO
_symmetry_space_group_name_H-M 'P 63 m c'
_symmetry_Int_Tables_number 186
_symmetry_space_group_name_Hall 'P 6c -2c'
_cell_length_a 2.8683
_cell_length_b 2.8683
_cell_length_c 5.5701
_cell_angle_alpha 90.00
_cell_angle_beta 90.00
_cell_angle_gamma 120.00
loop_
_atom_site_label
_atom_site_fract_x
_atom_site_fract_y
_atom_site_fract_z
Co1 0.3333 0.6667 0.0000
O1 0.3333 0.6667 0.6655
```



# SCAN CoP4O12, PBEsol geometry
# * distance to the lowest polymorph of the same formula: 1.4 kJ/mol of atoms
data_CoP4O12
_symmetry_space_group_name_H-M 'C 1 2/m 1'
_symmetry_Int_Tables_number 12
_cell_length_a 16.677
_cell_length_b 12.411
_cell_length_c 5.009
_cell_angle_alpha 90.00
_cell_angle_beta 102.55
_cell_angle_gamma 90.00
loop_
_symmetry_equiv_pos_as_xyz
'x,y,z'
'-x,-y,-z'
'-x,y,-z'
'x,-y,z'
'x+1/2,y+1/2,z'
'-x+1/2,-y+1/2,-z'
'-x+1/2,y+1/2,-z'
'x+1/2,-y+1/2,z'
loop_
_atom_site_label
_atom_site_fract_x
_atom_site_fract_y
_atom_site_fract_z
Co1 0.250 0.250 0.000
P1 0.083 0.228 0.164
P2 0.200 0.378 0.476
O1 0.000 0.284 0.000
O2 0.072 0.125 0.297
O3 0.112 0.327 0.379
O4 0.140 0.233 0.958
O5 0.180 0.500 0.396
O6 0.229 0.376 0.785
O7 0.240 0.166 0.682



# SCAN CoP2O7, PBEsol geometry
# * distance to the lowest polymorph of the same formula: 0.0 kJ/mol of atoms
data_CoP2O7
_symmetry_space_group_name_H-M 'C 1 2/c 1'
_symmetry_Int_Tables_number 15
_cell_length_a 9.169
_cell_length_b 7.846
_cell_length_c 12.750
_cell_angle_alpha 90.00
_cell_angle_beta 109.93
_cell_angle_gamma 90.00
loop_
_symmetry_equiv_pos_as_xyz
'x,y,z'
'-x,-y,-z'
'-x,y,-z+1/2'
'x,-y,z+1/2'
'x+1/2,y+1/2,z'
'-x+1/2,-y+1/2,-z'
'-x+1/2,y+1/2,-z+1/2'
'x+1/2,-y+1/2,z+1/2'
loop_
_atom_site_label
_atom_site_fract_x
_atom_site_fract_y
_atom_site_fract_z
Co1 0.150 0.227 0.146
P1 0.124 0.045 0.928
P2 0.164 0.409 0.363
O1 0.007 0.389 0.377
O2 0.026 0.038 0.148
O3 0.099 0.201 0.994
O4 0.176 0.410 0.820
O5 0.205 0.261 0.300
O6 0.207 0.100 0.515
O7 0.222 0.090 0.856



# SCAN CoP2O7, PBEsol geometry
# * distance to the lowest polymorph of the same formula: 1.2 kJ/mol of atoms
data_CoP2O7
_symmetry_space_group_name_H-M 'C 1 2 1'
_symmetry_Int_Tables_number 5
_cell_length_a 6.344
_cell_length_b 7.586
_cell_length_c 4.355
_cell_angle_alpha 90.00
_cell_angle_beta 103.32
_cell_angle_gamma 90.00
loop_
_symmetry_equiv_pos_as_xyz
'x,y,z'
'-x,y,-z'
'x+1/2,y+1/2,z'
'-x+1/2,y+1/2,-z'
loop_
_atom_site_label
_atom_site_fract_x
_atom_site_fract_y
_atom_site_fract_z
Co1 0.000 0.000 0.000
P1 0.206 0.355 0.409
O1 0.000 0.444 0.500
O2 0.122 0.826 0.279
O3 0.148 0.173 0.273
O4 0.238 0.992 0.821



So what do the calculations give for uncorrected energy? Going down the list: -0.4652, -0.3632, -0.3709, -0.3704 hartree per atom.
So what do the calculations give for E_form (uncorrected)? Going down the list: -0.89, -2.02, -1.92, -1.91 eV per atom.